[1]
The following is a DFT calculation (GGA-PBE) of a relaxed CaZn2Ir crystal.

Structure (extended XYZ):
```
4
Lattice="0.000 3.252 3.252 3.252 0.000 3.252 3.252 3.252 0.000" Properties=species:S:1:pos:R:3 pbc="T T T"
Ca 0.000 0.000 0.000
Zn 1.626 1.626 1.626
Zn 4.877 4.877 4.877
Ir 3.252 3.252 3.252
```

Calculated values
Electronic total energy   -14.3 eV per cell
Theoretical density   8.8 Mg/m³
Energy relative to the elements   -0.214 eV per atom
V   17.19 A^3/atom
Density of states at the Fermi level   2.80 states/eV/cell
Symmetry   Fm-3m

[2]
The following is a DFT calculation (GGA-PBE) of a relaxed CaZnIr2 crystal.

Structure (extended XYZ):
```
4
Lattice="3.005 0.000 0.000 0.000 4.509 0.000 0.000 0.000 4.883" Properties=species:S:1:pos:R:3 pbc="T T T"
Ca 0.000 0.000 0.000
Zn 1.502 0.000 2.441
Ir 0.000 2.254 2.441
Ir 1.502 2.254 0.000
```

Calculated values
Electronic total energy   -21.0 eV per cell
Theoretical density   12.3 Mg/m³
Energy relative to the elements   -0.004 eV per atom
V   16.54 A^3/atom
Density of states at the Fermi level   1.44 states/eV/cell
Symmetry   Pmmm

[3]
The following is a DFT calculation (GGA-PBE) of a relaxed CaZn2Ir crystal.

Structure (extended XYZ):
```
4
Lattice="3.274 0.000 0.000 0.000 3.274 0.000 0.000 0.000 6.903" Properties=species:S:1:pos:R:3 pbc="T T T"
Ca 0.000 0.000 0.000
Zn 0.000 0.000 3.120
Zn 1.637 1.637 4.607
Ir 1.637 1.637 1.930
```

Calculated values
Electronic total energy   -14.1 eV per cell
Theoretical density   8.1 Mg/m³
Energy relative to the elements   -0.177 eV per atom
V   18.50 A^3/atom
Density of states at the Fermi level   1.40 states/eV/cell
Symmetry   P4mm

[4]
The following is a DFT calculation (GGA-PBE) of a relaxed CaZn8Ir2 crystal.

Structure (extended XYZ):
```
11
Lattice="6.301 0.000 0.000 0.000 6.301 0.000 0.000 0.000 5.296" Properties=species:S:1:pos:R:3 pbc="T T T"
Ca 0.000 0.000 0.000
Zn 1.838 1.838 1.342
Zn 1.838 1.838 3.954
Zn 1.838 4.464 1.342
Zn 1.838 4.464 3.954
Zn 4.464 1.838 1.342
Zn 4.464 1.838 3.954
Zn 4.464 4.464 1.342
Zn 4.464 4.464 3.954
Ir 0.000 3.151 2.648
Ir 3.151 0.000 2.648
```

Calculated values
Electronic total energy   -29.1 eV per cell
Theoretical density   7.5 Mg/m³
Energy relative to the elements   0.075 eV per atom
V   19.12 A^3/atom
Density of states at the Fermi level   3.74 states/eV/cell
Symmetry   P4/mmm

[5]
The following is a DFT calculation (GGA-PBE) of a relaxed CaZn2Ir crystal.

Structure (extended XYZ):
```
4
Lattice="3.038 0.000 0.000 0.000 3.794 0.000 -0.046 0.000 6.120" Properties=species:S:1:pos:R:3 pbc="T T T"
Ca 0.000 0.000 0.000
Zn 1.482 1.897 4.285
Zn 1.511 1.897 1.835
Ir -0.023 0.000 3.060
```

Calculated values
Electronic total energy   -14.2 eV per cell
Theoretical density   8.5 Mg/m³
Energy relative to the elements   -0.207 eV per atom
V   17.64 A^3/atom
Density of states at the Fermi level   1.35 states/eV/cell
Symmetry   P2/m

[6]
The following is a DFT calculation (GGA-PBE) of a relaxed CaZn2Ir crystal.

Structure (extended XYZ):
```
8
Lattice="-2.240 2.240 8.876 2.240 -2.240 8.876 2.240 2.240 -8.876" Properties=species:S:1:pos:R:3 pbc="T T T"
Ca 0.000 0.000 0.000
Ca 0.000 2.240 4.438
Zn 1.120 -0.388 6.657
Zn 1.853 1.120 2.219
Zn 1.120 2.628 -2.219
Zn 0.388 1.120 11.095
Ir 2.240 0.000 4.438
Ir 0.000 0.000 8.876
```

Calculated values
Electronic total energy   -27.3 eV per cell
Theoretical density   6.8 Mg/m³
Energy relative to the elements   -0.059 eV per atom
V   22.27 A^3/atom
Density of states at the Fermi level   3.42 states/eV/cell
Symmetry   I-42d

[7]
The following is a DFT calculation (GGA-PBE) of a relaxed CaZnIr2 crystal.

Structure (extended XYZ):
```
4
Lattice="2.900 0.000 0.000 -0.061 5.001 0.000 -1.424 -2.375 4.745" Properties=species:S:1:pos:R:3 pbc="T T T"
Ca 0.000 0.000 0.000
Zn 1.479 0.476 2.766
Ir -0.012 3.293 2.248
Ir 1.437 2.418 0.237
```

Calculated values
Electronic total energy   -21.5 eV per cell
Theoretical density   11.8 Mg/m³
Energy relative to the elements   -0.125 eV per atom
V   17.20 A^3/atom
Density of states at the Fermi level   1.47 states/eV/cell
Symmetry   P1

[8]
The following is a DFT calculation (GGA-PBE) of a relaxed CaZn2Ir2 crystal.

Structure (extended XYZ):
```
5
Lattice="-2.002 2.002 5.575 2.002 -2.002 5.575 2.002 2.002 -5.575" Properties=species:S:1:pos:R:3 pbc="T T T"
Ca 0.000 0.000 0.000
Zn 0.000 0.000 4.357
Zn 0.000 0.000 6.792
Ir 2.002 0.000 2.787
Ir 0.000 2.002 2.787
```

Calculated values
Electronic total energy   -23.2 eV per cell
Theoretical density   10.3 Mg/m³
Energy relative to the elements   -0.186 eV per atom
V   17.87 A^3/atom
Density of states at the Fermi level   4.93 states/eV/cell
Symmetry   I4/mmm
E above lowest polymorph   67 meV/atom

[9]
The following is a DFT calculation (GGA-PBE) of a relaxed CaZnIr2 crystal.

Structure (extended XYZ):
```
4
Lattice="2.898 0.000 0.000 0.000 4.505 0.000 -1.188 0.000 5.199" Properties=species:S:1:pos:R:3 pbc="T T T"
Ca 0.000 0.000 0.000
Zn 0.279 2.252 4.040
Ir 0.368 0.000 2.615
Ir 1.728 2.252 1.854
```

Calculated values
Electronic total energy   -21.2 eV per cell
Theoretical density   12.0 Mg/m³
Energy relative to the elements   -0.041 eV per atom
V   16.97 A^3/atom
Density of states at the Fermi level   3.48 states/eV/cell
Symmetry   Pm

[10]
The following is a DFT calculation (GGA-PBE) of a relaxed CaZnIr2 crystal.

Structure (extended XYZ):
```
4
Lattice="2.866 -4.006 0.000 2.866 4.006 0.000 0.000 0.000 2.898" Properties=species:S:1:pos:R:3 pbc="T T T"
Ca 0.000 0.000 0.000
Zn 2.866 0.000 0.000
Ir 1.433 2.003 1.449
Ir 1.433 -2.003 1.449
```

Calculated values
Electronic total energy   -20.8 eV per cell
Theoretical density   12.2 Mg/m³
Energy relative to the elements   0.047 eV per atom
V   16.64 A^3/atom
Density of states at the Fermi level   3.32 states/eV/cell
Symmetry   Cmmm

[11]
The following is a DFT calculation (GGA-PBE) of a relaxed Ca2Zn7Ir crystal.

Structure (extended XYZ):
```
10
Lattice="4.056 0.000 0.000 0.000 4.056 0.000 0.000 0.000 11.338" Properties=species:S:1:pos:R:3 pbc="T T T"
Ca 0.000 2.028 2.797
Ca 2.028 0.000 8.541
Zn 0.000 0.000 0.000
Zn 0.000 0.000 5.669
Zn 0.000 2.028 7.266
Zn 0.000 2.028 9.786
Zn 2.028 0.000 1.552
Zn 2.028 0.000 4.072
Zn 2.028 2.028 5.669
Ir 2.028 2.028 0.000
```

Calculated values
Electronic total energy   -24.1 eV per cell
Theoretical density   6.5 Mg/m³
Energy relative to the elements   -0.236 eV per atom
V   18.65 A^3/atom
Density of states at the Fermi level   4.75 states/eV/cell
Symmetry   P-4m2

[12]
The following is a DFT calculation (GGA-PBE) of a relaxed CaZn7Ir5 crystal.

Structure (extended XYZ):
```
13
Lattice="-2.767 4.422 4.298 2.767 -4.422 4.298 2.767 4.422 -4.298" Properties=species:S:1:pos:R:3 pbc="T T T"
Ca 0.000 0.000 0.000
Zn 2.767 1.877 0.015
Zn 2.767 0.000 2.015
Zn 0.000 0.000 2.886
Zn 0.000 2.977 0.069
Zn 0.000 0.000 5.726
Zn 0.000 5.868 0.069
Zn 0.000 2.546 4.313
Ir 4.120 -2.181 2.195
Ir 1.414 -2.181 2.195
Ir 4.120 2.181 2.195
Ir 1.414 2.181 2.195
Ir 0.000 4.422 2.280
```

Calculated values
Electronic total energy   -58.5 eV per cell
Theoretical density   11.5 Mg/m³
Energy relative to the elements   -0.253 eV per atom
V   16.18 A^3/atom
Density of states at the Fermi level   7.90 states/eV/cell
Symmetry   Imm2

[13]
The following is a DFT calculation (GGA-PBE) of a relaxed CaZnIr2 crystal.

Structure (extended XYZ):
```
4
Lattice="2.863 0.000 0.000 0.000 2.863 0.000 0.000 0.000 8.394" Properties=species:S:1:pos:R:3 pbc="T T T"
Ca 0.000 0.000 0.000
Zn 1.432 1.432 5.927
Ir 0.000 0.000 4.046
Ir 1.432 1.432 2.302
```

Calculated values
Electronic total energy   -21.0 eV per cell
Theoretical density   11.8 Mg/m³
Energy relative to the elements   0.011 eV per atom
V   17.21 A^3/atom
Density of states at the Fermi level   3.92 states/eV/cell
Symmetry   P4mm

[14]
The following is a DFT calculation (GGA-PBE) of a relaxed CaZn2Ir crystal.

Structure (extended XYZ):
```
4
Lattice="4.095 0.000 0.000 0.000 4.095 0.000 0.000 0.000 4.187" Properties=species:S:1:pos:R:3 pbc="T T T"
Ca 0.000 0.000 0.000
Zn 0.000 2.048 2.093
Zn 2.048 0.000 2.093
Ir 2.048 2.048 0.000
```

Calculated values
Electronic total energy   -13.7 eV per cell
Theoretical density   8.6 Mg/m³
Energy relative to the elements   -0.084 eV per atom
V   17.56 A^3/atom
Density of states at the Fermi level   1.92 states/eV/cell
Symmetry   P4/mmm

[15]
The following is a DFT calculation (GGA-PBE) of a relaxed CaZnIr2 crystal.

Structure (extended XYZ):
```
4
Lattice="2.949 0.000 0.000 0.000 2.949 0.000 0.000 0.000 7.697" Properties=species:S:1:pos:R:3 pbc="T T T"
Ca 0.000 0.000 0.000
Zn 0.000 0.000 3.849
Ir 1.474 1.474 2.200
Ir 1.474 1.474 5.497
```

Calculated values
Electronic total energy   -21.0 eV per cell
Theoretical density   12.2 Mg/m³
Energy relative to the elements   -0.010 eV per atom
V   16.73 A^3/atom
Density of states at the Fermi level   3.99 states/eV/cell
Symmetry   P4/mmm

[16]
The following is a DFT calculation (GGA-PBE) of a relaxed Ca5Zn5Ir2 crystal.

Structure (extended XYZ):
```
12
Lattice="7.803 -2.118 0.000 7.803 2.118 0.000 -7.726 0.000 8.659" Properties=species:S:1:pos:R:3 pbc="T T T"
Ca 0.000 0.000 0.000
Ca 1.381 0.000 3.640
Ca 4.545 0.000 1.550
Ca 3.335 0.000 7.109
Ca 6.499 0.000 5.019
Zn -3.863 0.000 4.329
Zn -1.539 0.000 2.798
Zn -2.011 0.000 7.243
Zn 9.891 0.000 1.416
Zn 9.419 0.000 5.860
Ir 0.362 0.000 6.459
Ir 7.518 0.000 2.200
```

Calculated values
Electronic total energy   -37.8 eV per cell
Theoretical density   5.3 Mg/m³
Energy relative to the elements   -0.312 eV per atom
V   23.86 A^3/atom
Density of states at the Fermi level   5.79 states/eV/cell
Symmetry   C2/m

[17]
The following is a DFT calculation (GGA-PBE) of a relaxed CaZn12Ir4 crystal.

Structure (extended XYZ):
```
17
Lattice="-4.768 4.768 4.768 4.768 -4.768 4.768 4.768 4.768 -4.768" Properties=species:S:1:pos:R:3 pbc="T T T"
Ca 0.000 0.000 0.000
Zn 4.768 2.073 -2.073
Zn 4.768 -2.073 2.073
Zn 2.073 4.768 -2.073
Zn 2.695 2.695 0.000
Zn 2.695 0.000 2.695
Zn 2.073 -2.073 4.768
Zn 4.768 2.073 2.073
Zn 0.000 2.695 2.695
Zn -2.073 4.768 2.073
Zn -2.073 2.073 4.768
Zn 2.073 4.768 2.073
Zn 2.073 2.073 4.768
Ir 2.384 2.384 -2.384
Ir 2.384 -2.384 2.384
Ir -2.384 2.384 2.384
Ir 2.384 2.384 2.384
```

Calculated values
Electronic total energy   -51.1 eV per cell
Theoretical density   6.1 Mg/m³
Energy relative to the elements   0.095 eV per atom
V   25.51 A^3/atom
Density of states at the Fermi level   4.40 states/eV/cell
Symmetry   Im-3m

[18]
The following is a DFT calculation (GGA-PBE) of a relaxed CaZn4Ir crystal.

Structure (extended XYZ):
```
12
Lattice="2.404 -6.665 0.000 2.404 6.665 0.000 0.000 0.000 6.987" Properties=species:S:1:pos:R:3 pbc="T T T"
Ca 2.404 5.128 5.240
Ca 2.404 -5.128 1.747
Zn 2.404 5.276 1.747
Zn 2.404 2.935 0.518
Zn 2.404 2.935 2.975
Zn 2.404 0.000 0.000
Zn 2.404 0.000 3.493
Zn 2.404 -2.935 4.012
Zn 2.404 -2.935 6.469
Zn 2.404 -5.276 5.240
Ir 2.404 1.848 5.240
Ir 2.404 -1.848 1.747
```

Calculated values
Electronic total energy   -34.2 eV per cell
Theoretical density   7.3 Mg/m³
Energy relative to the elements   -0.187 eV per atom
V   18.66 A^3/atom
Density of states at the Fermi level   5.32 states/eV/cell
Symmetry   Cmcm
E above lowest polymorph   81 meV/atom

[19]
The following is a DFT calculation (GGA-PBE) of a relaxed Ca4Zn3Ir crystal.

Structure (extended XYZ):
```
8
Lattice="4.189 0.000 0.000 0.000 4.393 0.000 0.000 0.000 11.035" Properties=species:S:1:pos:R:3 pbc="T T T"
Ca 0.000 0.000 0.000
Ca 0.000 2.197 2.938
Ca 2.095 0.000 5.105
Ca 2.095 2.197 8.527
Zn 0.000 0.000 7.609
Zn 0.000 2.197 6.211
Zn 2.095 2.197 0.765
Ir 2.095 0.000 2.058
```

Calculated values
Electronic total energy   -23.1 eV per cell
Theoretical density   4.5 Mg/m³
Energy relative to the elements   -0.305 eV per atom
V   25.39 A^3/atom
Density of states at the Fermi level   4.94 states/eV/cell
Symmetry   Pmm2

[20]
The following is a DFT calculation (GGA-PBE) of a relaxed Ca3ZnIr crystal.

Structure (extended XYZ):
```
5
Lattice="5.466 0.000 0.000 0.000 5.466 0.000 0.000 0.000 5.466" Properties=species:S:1:pos:R:3 pbc="T T T"
Ca 0.000 0.000 2.733
Ca 0.000 2.733 0.000
Ca 2.733 0.000 0.000
Zn 2.733 2.733 2.733
Ir 0.000 0.000 0.000
```

Calculated values
Electronic total energy   -16.7 eV per cell
Theoretical density   3.8 Mg/m³
Energy relative to the elements   -0.105 eV per atom
V   32.66 A^3/atom
Density of states at the Fermi level   1.71 states/eV/cell
Symmetry   Pm-3m
E above lowest polymorph   198 meV/atom